Entry 1:
Material: CsPmMgF6
Method: DFT, PBE
State: relaxed

Values from the calculation:
- Formation energy from raw total energies: -3.6046 eV per atom
- Uncorrected energy: -5.652 eV per atom

Cell lengths 8.270, 7.740, 7.800 Å; angles 119.75, 122.01, 90.00 degrees
Atoms (fractional coordinates):
F 0.194 0.346 0.733
F 0.806 0.654 0.267
F 0.461 0.654 0.267
F 0.516 0.266 0.032
Cs 0.820 0.570 0.641
F 0.806 0.112 0.267
Mg 0.500 0.000 0.000
Cs 0.180 0.430 0.359
F 0.484 0.734 0.968
F 0.539 0.888 0.733
F 0.845 0.095 0.691
Pm 0.500 0.000 0.500
F 0.155 0.905 0.309
Pm 0.000 0.000 0.500
Mg 0.500 0.500 0.000
F 0.539 0.346 0.733
F 0.461 0.112 0.267
F 0.194 0.888 0.733



Entry 2:
Material: Cs2PmMg3F12
Method: DFT, PBE
State: relaxed

Values from the calculation:
- Formation energy from raw total energies: -3.2904 eV per atom
- Uncorrected energy: -5.162 eV per atom

Cell lengths 7.651, 7.651, 7.651 Å; angles 59.72, 59.72, 59.72 degrees
Last column: magnetic moment on the atom in μB.
Atoms (fractional coordinates):
F 0.702 0.077 0.702  0.14
F 0.298 0.298 0.923  0.14
F 0.360 0.910 0.910  0.05
F 0.090 0.640 0.090  0.05
F 0.077 0.702 0.702  0.14
F 0.298 0.923 0.298  0.14
F 0.090 0.090 0.640  0.05
Cs 0.386 0.386 0.386  0.00
Pm 0.000 0.000 0.000  0.00
Mg 0.500 0.000 0.000  0.00
F 0.923 0.298 0.298  0.14
Mg 0.000 0.500 0.000  0.00
F 0.640 0.090 0.090  0.05
Mg 0.000 0.000 0.500  0.00
F 0.910 0.910 0.360  0.05
F 0.910 0.360 0.910  0.05
F 0.702 0.702 0.077  0.14
Cs 0.614 0.614 0.614  0.00



Entry 3:
Material: Cs2PmMgF6
Method: DFT, PBE
State: relaxed

Values from the calculation:
- Formation energy from raw total energies: -3.1065 eV per atom
- Uncorrected energy: -5.035 eV per atom

Cell lengths 6.163, 6.698, 8.832 Å; angles 90.00, 90.00, 90.00 degrees
Last column: magnetic moment on the atom in μB.
Atoms (fractional coordinates):
F 0.256 0.462 0.000  0.01
F 0.244 0.538 0.500  0.01
Pm 0.000 0.750 0.000  0.49
F 0.256 0.038 0.000  0.01
Mg 0.000 0.750 0.500  0.00
F 0.744 0.462 0.000  0.01
Cs 0.000 0.250 0.746  0.02
Mg 0.500 0.250 0.000  0.00
F 0.244 0.962 0.500  0.01
F 0.756 0.962 0.500  0.01
Cs 0.000 0.250 0.254  0.02
Cs 0.500 0.750 0.246  0.02
Cs 0.500 0.750 0.754  0.02
F 0.744 0.038 0.000  0.01
Pm 0.500 0.250 0.500  0.49
F 0.500 0.250 0.237  0.00
F 0.000 0.750 0.737  0.00
F 0.000 0.750 0.263  0.00
F 0.756 0.538 0.500  0.01
F 0.500 0.250 0.763  0.00



Entry 4:
Material: Cs2PrMgF6
Method: DFT, PBE
State: relaxed

Values from the calculation:
- Formation energy from raw total energies: -3.1030 eV per atom
- Uncorrected energy: -5.034 eV per atom

Cell lengths 6.208, 6.748, 8.891 Å; angles 90.00, 90.00, 90.00 degrees
Last column: magnetic moment on the atom in μB.
Atoms (fractional coordinates):
F 0.000 0.750 0.734  0.00
F 0.241 0.539 0.500  0.01
F 0.741 0.040 0.000  0.01
Cs 0.000 0.250 0.747  0.02
F 0.241 0.960 0.500  0.01
F 0.259 0.040 0.000  0.01
Cs 0.500 0.750 0.753  0.02
Cs 0.500 0.750 0.247  0.02
Mg 0.500 0.251 0.000  0.00
F 0.759 0.539 0.500  0.01
Cs 0.000 0.250 0.253  0.02
F 0.000 0.750 0.266  0.00
Pr 0.500 0.249 0.500  0.48
F 0.259 0.461 0.000  0.01
Mg 0.000 0.749 0.500  0.00
F 0.759 0.960 0.500  0.01
F 0.500 0.250 0.766  0.00
Pr 0.000 0.751 0.000  0.48
F 0.500 0.250 0.234  0.00
F 0.741 0.461 0.000  0.01



Entry 5:
Material: CsPuMgF6
Method: DFT, PBE
State: relaxed

Values from the calculation:
- Formation energy from raw total energies: -3.4005 eV per atom
- Uncorrected energy: -6.512 eV per atom

Cell lengths 7.602, 8.072, 7.620 Å; angles 121.98, 119.92, 90.00 degrees
Last column: magnetic moment on the atom in μB.
Atoms (fractional coordinates):
Cs 0.089 0.339 0.178  0.00
Mg 0.500 0.000 0.500  0.00
F 0.359 0.044 0.229  -0.01
F 0.870 0.044 0.229  -0.01
Mg 0.000 0.000 0.500  0.00
F 0.392 0.642 0.785  -0.02
F 0.130 0.956 0.771  -0.01
Pu 0.500 0.000 0.000  5.00
F 0.641 0.315 0.771  -0.01
Cs 0.911 0.661 0.822  0.00
Pu 0.500 0.500 0.000  5.00
F 0.130 0.315 0.771  -0.01
F 0.608 0.358 0.215  -0.02
F 0.359 0.685 0.229  -0.01
F 0.297 0.047 0.594  0.00
F 0.870 0.685 0.229  -0.01
F 0.641 0.956 0.771  -0.01
F 0.703 0.953 0.406  0.00



Entry 6:
Material: Cs2PuMgF6
Method: DFT, PBE
State: relaxed

Values from the calculation:
- Formation energy from raw total energies: -3.0551 eV per atom
- Uncorrected energy: -5.941 eV per atom

Cell lengths 6.398, 6.438, 9.042 Å; angles 90.00, 90.00, 90.00 degrees
Last column: magnetic moment on the atom in μB.
Atoms (fractional coordinates):
F 0.731 0.023 0.500  0.00
Cs 0.000 0.242 0.250  0.01
F 0.224 0.524 0.000  -0.01
Pu 0.000 0.731 0.500  5.80
F 0.724 0.476 0.500  -0.01
F 0.000 0.755 0.772  0.00
Pu 0.500 0.269 0.000  5.80
F 0.776 0.524 0.000  -0.01
F 0.500 0.245 0.272  0.00
Cs 0.500 0.758 0.750  0.01
F 0.500 0.245 0.728  0.00
Mg 0.500 0.245 0.500  0.00
Cs 0.500 0.758 0.250  0.01
F 0.276 0.476 0.500  -0.01
F 0.000 0.755 0.228  0.00
F 0.231 0.977 0.000  0.00
Mg 0.000 0.755 0.000  0.00
F 0.269 0.023 0.500  0.00
F 0.769 0.977 0.000  0.00
Cs 0.000 0.242 0.750  0.01



Number 1: magnetic moment 0.13 μB/cell. Number 2: magnetic moment 1.22 μB/cell. Number 3: magnetic moment 1.97 μB/cell. Number 4: magnetic moment 1.98 μB/cell. Number 5: magnetic moment 10.00 μB/cell. Number 6: magnetic moment 11.96 μB/cell.